Material: MoRhW2
Method: DFT, meta-GGA SCAN
State: PBEsol geometry

CIF file:
```
data_MoRhW2
_cell_length_a 6.2334
_cell_length_b 6.2334
_cell_length_c 6.2334
_cell_angle_alpha 90.00
_cell_angle_beta 90.00
_cell_angle_gamma 90.00
_space_group_name_H-M_alt 'F m -3 m'
_space_group_IT_number 225
_space_group_name_Hall '-F 4 2 3'
loop_
_atom_site_label
_atom_site_fract_x
_atom_site_fract_y
_atom_site_fract_z
Mo1 0.0000 0.0000 0.0000
Rh1 0.0000 0.0000 0.5000
W1 0.2500 0.2500 0.2500
```

Values from the calculation:
ΔH_f (0 K): 248 meV per atom
N(E_F): 1.3746 states/eV per atom